[1]
First-principles (PBE) data for a relaxed AlTlMo2 crystal, as listed in Alexandria via LeMat-Bulk.

## Properties
Its space-group type is Pm (6).

Structure (extended XYZ):
```
4
Lattice="2.954 0.000 0.000 0.000 4.270 0.000 -1.343 0.000 5.684" Properties=species:S:1:pos:R:3 pbc="T T T"
Al 0.000 0.000 0.000
Tl 0.452 2.135 4.041
Mo 1.209 2.135 1.222
Mo 1.991 0.000 2.453
```


[2]
First-principles (PBE) data for a relaxed AlTlMo2 crystal, as listed in Alexandria via LeMat-Bulk.

## Properties
Its space-group type is P2/m (10).

Structure (extended XYZ):
```
4
Lattice="4.557 0.000 0.000 0.000 3.343 0.000 -0.502 0.000 4.552" Properties=species:S:1:pos:R:3 pbc="T T T"
Al 0.000 0.000 0.000
Tl -0.251 1.671 2.276
Mo 2.027 0.000 2.276
Mo 2.278 1.671 0.000
```


[3]
First-principles (PBE) data for a relaxed Al2TlMo crystal, as listed in Alexandria via LeMat-Bulk.

## Properties
Its space-group type is P4/mmm (123).

Structure (extended XYZ):
```
4
Lattice="4.321 0.000 0.000 0.000 4.321 0.000 0.000 0.000 3.685" Properties=species:S:1:pos:R:3 pbc="T T T"
Al 0.000 2.161 0.000
Al 2.161 0.000 0.000
Tl 0.000 0.000 1.843
Mo 2.161 2.161 1.843
```


[4]
First-principles (PBE) data for a relaxed Al2TlMo crystal, as listed in Alexandria via LeMat-Bulk.

## Properties
Its space-group type is R3m (160).

Structure (extended XYZ):
```
12
Lattice="3.073 0.000 0.000 -1.537 2.662 0.000 0.000 0.000 27.495" Properties=species:S:1:pos:R:3 pbc="T T T"
Al 0.000 0.000 0.000
Al 0.000 0.000 6.935
Al 0.000 1.774 18.330
Al 0.000 1.774 25.265
Al 1.537 0.887 9.165
Al 1.537 0.887 16.100
Tl 0.000 0.000 13.573
Tl 0.000 1.774 4.408
Tl 1.537 0.887 22.738
Mo 0.000 0.000 20.338
Mo 0.000 1.774 11.173
Mo 1.537 0.887 2.008
```


[5]
First-principles (PBE) data for a relaxed Al3TlMo crystal, as listed in Alexandria via LeMat-Bulk.

## Properties
Its space-group type is Pm-3m (221).

Structure (extended XYZ):
```
5
Lattice="4.959 0.000 0.000 0.000 4.959 0.000 0.000 0.000 4.959" Properties=species:S:1:pos:R:3 pbc="T T T"
Al 0.000 0.000 2.480
Al 0.000 2.480 0.000
Al 2.480 0.000 0.000
Tl 2.480 2.480 2.480
Mo 0.000 0.000 0.000
```


[6]
First-principles (PBE) data for a relaxed AlTlMo2 crystal, as listed in Alexandria via LeMat-Bulk.

## Properties
Its space-group type is Cmmm (65).

Structure (extended XYZ):
```
8
Lattice="3.422 0.000 0.000 0.000 4.556 0.000 0.000 0.000 8.945" Properties=species:S:1:pos:R:3 pbc="T T T"
Al 0.000 0.000 0.000
Al 1.711 2.278 0.000
Tl 0.000 0.000 4.473
Tl 1.711 2.278 4.473
Mo 0.000 2.278 2.058
Mo 0.000 2.278 6.888
Mo 1.711 0.000 2.058
Mo 1.711 0.000 6.888
```


[7]
First-principles (PBE) data for a relaxed Al2TlMo crystal, as listed in Alexandria via LeMat-Bulk.

## Properties
Its space-group type is P4/mmm (123).

Structure (extended XYZ):
```
4
Lattice="4.937 0.000 0.000 0.000 4.937 0.000 0.000 0.000 2.952" Properties=species:S:1:pos:R:3 pbc="T T T"
Al 0.000 2.468 0.000
Al 2.468 0.000 0.000
Tl 0.000 0.000 1.476
Mo 2.468 2.468 1.476
```


[8]
First-principles (PBE) data for a relaxed AlTlMo2 crystal, as listed in Alexandria via LeMat-Bulk.

## Properties
Its space-group type is I-4m2 (119).

Structure (extended XYZ):
```
8
Lattice="4.147 0.000 0.000 0.000 4.147 0.000 0.000 0.000 7.983" Properties=species:S:1:pos:R:3 pbc="T T T"
Al 0.000 0.000 0.000
Al 2.074 2.074 3.992
Tl 0.000 2.074 1.996
Tl 2.074 0.000 5.987
Mo 0.000 0.000 3.992
Mo 0.000 2.074 5.987
Mo 2.074 0.000 1.996
Mo 2.074 2.074 0.000
```


[9]
First-principles (PBE) data for a relaxed AlTlMo2 crystal, as listed in Alexandria via LeMat-Bulk.

## Properties
Its space-group type is P4/mmm (123).

Structure (extended XYZ):
```
4
Lattice="4.885 0.000 0.000 0.000 4.885 0.000 0.000 0.000 2.898" Properties=species:S:1:pos:R:3 pbc="T T T"
Al 0.000 0.000 0.000
Tl 2.442 2.442 0.000
Mo 0.000 2.442 1.449
Mo 2.442 0.000 1.449
```


[10]
First-principles (PBE) data for a relaxed Al2TlMo crystal, as listed in Alexandria via LeMat-Bulk.

## Properties
Its space-group type is Cmmm (65).

Structure (extended XYZ):
```
8
Lattice="5.829 0.000 0.000 0.000 8.238 0.000 0.000 0.000 2.965" Properties=species:S:1:pos:R:3 pbc="T T T"
Al 1.457 2.060 0.000
Al 1.457 6.179 0.000
Al 4.372 2.060 0.000
Al 4.372 6.179 0.000
Tl 0.000 0.000 1.482
Tl 2.914 4.119 1.482
Mo 0.000 4.119 1.482
Mo 2.914 0.000 1.482
```


[11]
First-principles (PBE) data for a relaxed AlTlMo2 crystal, as listed in Alexandria via LeMat-Bulk.

## Properties
Its space-group type is C2/m (12).

Structure (extended XYZ):
```
8
Lattice="5.670 0.000 0.000 0.000 9.019 0.000 -0.852 0.000 2.724" Properties=species:S:1:pos:R:3 pbc="T T T"
Al 0.000 0.000 0.000
Al 2.835 4.510 0.000
Tl 0.000 4.510 0.000
Tl 2.835 0.000 0.000
Mo 0.991 2.255 1.362
Mo 0.991 6.765 1.362
Mo 3.826 2.255 1.362
Mo 3.826 6.765 1.362
```


[12]
First-principles (PBE) data for a relaxed Al2TlMo crystal, as listed in Alexandria via LeMat-Bulk.

## Properties
Its space-group type is F-43m (216).

Structure (extended XYZ):
```
16
Lattice="6.632 0.000 0.000 0.000 6.632 0.000 0.000 0.000 6.632" Properties=species:S:1:pos:R:3 pbc="T T T"
Al 0.000 0.000 0.000
Al 0.000 3.316 3.316
Al 1.658 1.658 1.658
Al 1.658 4.974 4.974
Al 3.316 0.000 3.316
Al 3.316 3.316 0.000
Al 4.974 1.658 4.974
Al 4.974 4.974 1.658
Tl 0.000 0.000 3.316
Tl 0.000 3.316 0.000
Tl 3.316 0.000 0.000
Tl 3.316 3.316 3.316
Mo 1.658 1.658 4.974
Mo 1.658 4.974 1.658
Mo 4.974 1.658 1.658
Mo 4.974 4.974 4.974
```


Summary of energy of formation in eV per atom
0.385 0.441 0.345 0.366 0.433 0.416 0.340 0.434 0.576 0.330 0.465 0.676
(order as listed above)